(P)
Here is a geometry-optimized ReMoRu2 structure from Alexandria. Energies are from PBE-GGA.

abc: 4.7624 4.7624 4.7646
angles: 80.37 80.37 33.55
Positions (direct):
Re (0.2500, 0.2500, 0.2500)
Ru (0.9971, 0.9971, 0.0074)
Ru (0.5029, 0.5029, 0.4926)
Mo (0.7500, 0.7500, 0.7500)

Output
- V: 14.70 Å³/atom

(Q)
Here is a geometry-optimized ReMoRu2 structure from Alexandria. Energies are from PBE-GGA.

abc: 4.3881 4.3881 4.3881
angles: 60.00 60.00 60.00
Positions (direct):
Ru (0.7500, 0.7500, 0.7500)
Ru (0.2500, 0.2500, 0.2500)
Mo (0.0000, 0.0000, 0.0000)
Re (0.5000, 0.5000, 0.5000)

Output
- V: 14.94 Å³/atom

From most stable to least stable, the computed energies give (P), (Q).

(P)
Here is a geometry-optimized ReMoRu2 structure from Alexandria. Energies are from PBE-GGA.

abc: 2.7567 3.8465 5.5631
angles: 89.99 90.00 90.00
Positions (direct):
Ru (0.5606, 0.4713, 0.3473)
Ru (0.0606, 0.9713, 0.0883)
Mo (0.0604, 0.9713, 0.5887)
Re (0.5606, 0.4713, 0.8652)

Output
- V: 14.75 Å³/atom

(Q)
Here is a geometry-optimized ReMoRu2 structure from Alexandria. Energies are from PBE-GGA.

abc: 4.7481 4.7481 4.7700
angles: 80.16 80.16 33.75
Positions (direct):
Ru (0.0018, 0.0018, 0.0120)
Ru (0.7450, 0.7450, 0.7465)
Mo (0.4996, 0.4996, 0.5113)
Re (0.2537, 0.2537, 0.2302)

Output
- V: 14.70 Å³/atom

(R)
Here is a geometry-optimized ReMoRu2 structure from Alexandria. Energies are from PBE-GGA.

abc: 9.2012 9.2012 9.2012
angles: 17.15 17.15 17.15
Positions (direct):
Mo (0.5026, 0.5026, 0.5026)
Re (0.7462, 0.7462, 0.7462)
Ru (0.2499, 0.2499, 0.2499)
Ru (0.0013, 0.0013, 0.0013)

Output
- V: 14.77 Å³/atom

From most stable to least stable, the computed energies give (Q), (P), (R).

(P)
Here is a geometry-optimized Re3MoS structure from Alexandria. Energies are from PBE-GGA.

abc: 4.7274 4.7274 4.7274
angles: 90.00 90.00 90.00
Positions (direct):
Re (0.0000, 0.0000, 0.5000)
Re (0.5000, 0.0000, 0.0000)
Re (0.0000, 0.5000, 0.0000)
S (0.5000, 0.5000, 0.5000)
Mo (0.0000, 0.0000, 0.0000)

Output
- V: 21.13 Å³/atom

(Q)
Here is a geometry-optimized Re3MoS structure from Alexandria. Energies are from PBE-GGA.

abc: 4.3278 4.3278 4.3278
angles: 90.00 90.00 90.00
Positions (direct):
Re (0.5000, 0.0000, 0.0000)
Re (0.0000, 0.5000, 0.0000)
Re (0.0000, 0.0000, 0.5000)
Mo (0.5000, 0.5000, 0.5000)
S (0.0000, 0.0000, 0.0000)

Output
- V: 16.21 Å³/atom

From most stable to least stable, the computed energies give (Q), (P).

(P)
Here is a geometry-optimized ReMoS4 structure from Alexandria. Energies are from PBE-GGA.

abc: 5.1979 6.7391 6.7472
angles: 123.57 90.00 90.00
Positions (direct):
S (0.6924, 0.6813, 0.8217)
S (0.3057, 0.8208, 0.6825)
S (0.8057, 0.6792, 0.3175)
S (0.8076, 0.1813, 0.8217)
S (0.3076, 0.3187, 0.1783)
S (0.1924, 0.8187, 0.1783)
S (0.6943, 0.1792, 0.3175)
S (0.1943, 0.3208, 0.6825)
Mo (0.5000, 0.0000, 0.5000)
Mo (0.0000, 0.5000, 0.5000)
Re (0.0000, 0.0000, 0.0000)
Re (0.5000, 0.5000, 0.0000)

Output
- V: 16.41 Å³/atom

(Q)
Here is a geometry-optimized ReMoS4 structure from Alexandria. Energies are from PBE-GGA.

abc: 3.1696 7.1898 5.7225
angles: 100.23 90.00 102.71
Positions (direct):
S (0.0957, 0.1920, 0.3660)
S (0.8756, 0.7509, 0.6185)
S (0.4047, 0.8091, 0.1260)
S (0.6240, 0.2482, 0.8862)
Mo (0.4962, 0.9924, 0.5503)
Re (0.0037, 0.0074, 0.9529)

Output
- V: 20.85 Å³/atom

From most stable to least stable, the computed energies give (Q), (P).

(P)
Here is a geometry-optimized ReMo3S structure from Alexandria. Energies are from PBE-GGA.

abc: 4.7631 4.7631 4.7631
angles: 90.00 90.00 90.00
Positions (direct):
Mo (0.0000, 0.0000, 0.5000)
Mo (0.0000, 0.5000, 0.0000)
Mo (0.5000, 0.0000, 0.0000)
Re (0.0000, 0.0000, 0.0000)
S (0.5000, 0.5000, 0.5000)

Output
- V: 21.61 Å³/atom

(Q)
Here is a geometry-optimized ReMo3S structure from Alexandria. Energies are from PBE-GGA.

abc: 4.3623 4.3623 4.3623
angles: 90.00 90.00 90.00
Positions (direct):
Mo (0.0000, 0.0000, 0.5000)
Mo (0.0000, 0.5000, 0.0000)
Mo (0.5000, 0.0000, 0.0000)
S (0.0000, 0.0000, 0.0000)
Re (0.5000, 0.5000, 0.5000)

Output
- V: 16.60 Å³/atom

From most stable to least stable, the computed energies give (Q), (P).

(P)
Here is a geometry-optimized Re2SbMo2 structure from Alexandria. Energies are from PBE-GGA.

abc: 7.6944 7.6944 2.9488
angles: 90.00 90.00 90.00
Positions (direct):
Mo (0.8478, 0.3478, 0.5000)
Mo (0.1522, 0.6522, 0.5000)
Mo (0.3478, 0.1522, 0.5000)
Mo (0.6522, 0.8478, 0.5000)
Re (0.3649, 0.8649, 0.0000)
Re (0.1351, 0.3649, 0.0000)
Re (0.6351, 0.1351, 0.0000)
Re (0.8649, 0.6351, 0.0000)
Sb (0.0000, 0.0000, 0.0000)
Sb (0.5000, 0.5000, 0.0000)

Output
- V: 17.46 Å³/atom

(Q)
Here is a geometry-optimized Re2SbMo2 structure from Alexandria. Energies are from PBE-GGA.

abc: 4.2005 4.2005 6.2350
angles: 70.31 70.31 90.00
Positions (direct):
Re (0.6189, 0.6189, 0.7621)
Re (0.3811, 0.3811, 0.2379)
Mo (0.2500, 0.7500, 0.5000)
Mo (0.7500, 0.2500, 0.5000)
Sb (0.0000, 0.0000, 0.0000)

Output
- V: 19.35 Å³/atom

From most stable to least stable, the computed energies give (P), (Q).

(P)
Here is a geometry-optimized ReSbMo structure from Alexandria. Energies are from PBE-GGA.

abc: 4.3730 4.3730 4.3730
angles: 60.00 60.00 60.00
Positions (direct):
Re (0.7500, 0.7500, 0.7500)
Mo (0.5000, 0.5000, 0.5000)
Sb (0.0000, 0.0000, 0.0000)

Output
- V: 19.71 Å³/atom

(Q)
Here is a geometry-optimized ReSbMo structure from Alexandria. Energies are from PBE-GGA.

abc: 4.4895 4.4895 2.9837
angles: 90.00 90.00 120.00
Positions (direct):
Mo (0.0000, 0.0000, 0.9996)
Re (0.6667, 0.3333, 0.5004)
Sb (0.3333, 0.6667, 0.5000)

Output
- V: 17.36 Å³/atom

(R)
Here is a geometry-optimized ReSbMo structure from Alexandria. Energies are from PBE-GGA.

abc: 3.0254 3.0254 6.7269
angles: 90.00 90.00 120.00
Positions (direct):
Sb (0.3333, 0.6667, 0.6657)
Mo (0.0000, 0.0000, 0.0201)
Re (0.6667, 0.3333, 0.3142)

Output
- V: 17.77 Å³/atom

(S)
Here is a geometry-optimized ReSbMo structure from Alexandria. Energies are from PBE-GGA.

abc: 4.7962 4.7962 4.7962
angles: 142.86 128.26 65.39
Positions (direct):
Re (0.3312, 0.3312, 0.0000)
Mo (0.0019, 0.0019, 0.0000)
Sb (0.6669, 0.6669, 0.0000)

Output
- V: 17.20 Å³/atom

From most stable to least stable, the computed energies give (P), (R), (Q), (S).

(P)
Here is a geometry-optimized ReSb2Mo structure from Alexandria. Energies are from PBE-GGA.

abc: 3.1466 3.1466 8.6241
angles: 90.00 90.00 116.20
Positions (direct):
Mo (0.5000, 0.5000, 0.2500)
Sb (0.0000, 0.0000, 0.5015)
Sb (0.0000, 0.0000, 0.9985)
Re (0.5000, 0.5000, 0.7500)

Output
- V: 19.15 Å³/atom

(Q)
Here is a geometry-optimized ReSb2Mo structure from Alexandria. Energies are from PBE-GGA.

abc: 10.7962 10.7962 10.7962
angles: 16.60 16.60 16.60
Positions (direct):
Mo (0.4882, 0.4882, 0.4882)
Sb (0.2255, 0.2255, 0.2255)
Sb (0.0255, 0.0255, 0.0255)
Re (0.7607, 0.7607, 0.7607)

Output
- V: 22.39 Å³/atom

(R)
Here is a geometry-optimized ReSb2Mo structure from Alexandria. Energies are from PBE-GGA.

abc: 4.6600 4.6600 4.6600
angles: 60.00 60.00 60.00
Positions (direct):
Sb (0.7500, 0.7500, 0.7500)
Sb (0.2500, 0.2500, 0.2500)
Re (0.5000, 0.5000, 0.5000)
Mo (0.0000, 0.0000, 0.0000)

Output
- V: 17.89 Å³/atom

From most stable to least stable, the computed energies give (Q), (R), (P).

(P)
Here is a geometry-optimized ReSb2Mo structure from Alexandria. Energies are from PBE-GGA.

abc: 3.1254 3.1254 8.4465
angles: 90.00 90.00 90.00
Positions (direct):
Re (0.5000, 0.5000, 0.7191)
Mo (0.0000, 0.0000, 0.5373)
Sb (0.5000, 0.5000, 0.3064)
Sb (0.0000, 0.0000, 0.9371)

Output
- V: 20.63 Å³/atom

(Q)
Here is a geometry-optimized ReSb2Mo structure from Alexandria. Energies are from PBE-GGA.

abc: 3.0803 4.1458 5.9271
angles: 90.00 90.00 90.00
Positions (direct):
Sb (0.0000, 0.0000, 0.9498)
Sb (0.5000, 0.5000, 0.3010)
Mo (0.0000, 0.0000, 0.4867)
Re (0.5000, 0.5000, 0.7624)

Output
- V: 18.92 Å³/atom

From most stable to least stable, the computed energies give (P), (Q).

(P)
Here is a geometry-optimized ScReMo2 structure from Alexandria. Energies are from PBE-GGA.

abc: 9.2362 9.2362 9.2362
angles: 18.20 18.20 18.20
Positions (direct):
Re (0.5042, 0.5042, 0.5042)
Mo (0.2474, 0.2474, 0.2474)
Mo (0.9966, 0.9966, 0.9966)
Sc (0.7517, 0.7517, 0.7517)

Output
- V: 16.78 Å³/atom

(Q)
Here is a geometry-optimized ScReMo2 structure from Alexandria. Energies are from PBE-GGA.

abc: 9.3473 9.3473 9.3473
angles: 17.89 17.89 17.89
Positions (direct):
Mo (0.5050, 0.5050, 0.5050)
Mo (0.9950, 0.9950, 0.9950)
Re (0.2500, 0.2500, 0.2500)
Sc (0.7500, 0.7500, 0.7500)

Output
- V: 16.82 Å³/atom

From most stable to least stable, the computed energies give (P), (Q).

(P)
Here is a geometry-optimized ScReMo2 structure from Alexandria. Energies are from PBE-GGA.

abc: 4.5165 4.5165 4.5139
angles: 120.08 120.08 89.84
Positions (direct):
Mo (0.9999, 0.0001, 0.0000)
Mo (0.2500, 0.7500, 0.5000)
Re (0.5001, 0.4999, 0.0000)
Sc (0.7500, 0.2500, 0.5000)

Output
- V: 16.26 Å³/atom

(Q)
Here is a geometry-optimized ScReMo2 structure from Alexandria. Energies are from PBE-GGA.

abc: 4.5073 4.5073 4.5073
angles: 60.00 60.00 60.00
Positions (direct):
Mo (0.2500, 0.2500, 0.2500)
Mo (0.7500, 0.7500, 0.7500)
Re (0.5000, 0.5000, 0.5000)
Sc (0.0000, 0.0000, 0.0000)

Output
- V: 16.19 Å³/atom

From most stable to least stable, the computed energies give (Q), (P).

(P)
Here is a geometry-optimized ScReMo2 structure from Alexandria. Energies are from PBE-GGA.

abc: 4.5341 4.5341 3.1596
angles: 90.00 90.00 90.00
Positions (direct):
Mo (0.5000, 0.5000, 0.0000)
Mo (0.0000, 0.0000, 0.0000)
Sc (0.0000, 0.5000, 0.5000)
Re (0.5000, 0.0000, 0.5000)

Output
- V: 16.24 Å³/atom

(Q)
Here is a geometry-optimized ScReMo2 structure from Alexandria. Energies are from PBE-GGA.

abc: 5.3326 5.3326 2.7144
angles: 90.00 90.00 120.47
Positions (direct):
Mo (0.0000, 0.0000, 0.0000)
Mo (0.5000, 0.5000, 0.0000)
Sc (0.0000, 0.5000, 0.5000)
Re (0.5000, 0.0000, 0.5000)

Output
- V: 16.63 Å³/atom

From most stable to least stable, the computed energies give (P), (Q).

(P)
Here is a geometry-optimized ScRe3Mo structure from Alexandria. Energies are from PBE-GGA.

abc: 4.7026 4.7026 4.7026
angles: 90.00 90.00 90.00
Positions (direct):
Mo (0.0000, 0.0000, 0.0000)
Re (0.5000, 0.0000, 0.0000)
Re (0.0000, 0.0000, 0.5000)
Re (0.0000, 0.5000, 0.0000)
Sc (0.5000, 0.5000, 0.5000)

Output
- V: 20.80 Å³/atom

(Q)
Here is a geometry-optimized ScRe3Mo structure from Alexandria. Energies are from PBE-GGA.

abc: 4.5084 4.5084 4.5084
angles: 90.00 90.00 90.00
Positions (direct):
Re (0.0000, 0.0000, 0.5000)
Re (0.0000, 0.5000, 0.0000)
Re (0.5000, 0.0000, 0.0000)
Sc (0.0000, 0.0000, 0.0000)
Mo (0.5000, 0.5000, 0.5000)

Output
- V: 18.33 Å³/atom

From most stable to least stable, the computed energies give (P), (Q).